The following is a DFT calculation (GGA-PBEsol) of a relaxed Cs2LiFeHg crystal.

Unit cell a=5.020 b=7.008 c=7.008 alpha=90.00 beta=90.00 gamma=90.00
Fractional positions:
Hg  0.000  0.000  0.000
Cs  0.000  0.000  0.500
Cs  0.000  0.500  0.000
Fe  0.500  0.000  0.000
Li  0.500  0.500  0.500



The following is a DFT calculation (GGA-PBEsol) of a relaxed CsFe3I crystal.

Properties
ΔE_f (raw) in eV per atom: 1.53

Unit cell a=4.848 b=4.848 c=4.848 alpha=90.00 beta=90.00 gamma=90.00
Fractional positions:
Fe  0.500  0.000  0.000
I  0.000  0.000  0.000
Cs  0.500  0.500  0.500
Fe  0.000  0.000  0.500
Fe  0.000  0.500  0.000



The following is a DFT calculation (GGA-PBEsol) of a relaxed CsFe2SeI crystal.

Properties
ΔE_f (raw) in eV per atom: 2.04

Unit cell a=5.442 b=5.364 c=5.364 alpha=90.00 beta=90.00 gamma=90.00
Fractional positions:
Fe  0.000  0.500  0.000
Cs  0.000  0.000  0.000
Se  0.500  0.000  0.000
I  0.500  0.500  0.500
Fe  0.000  0.000  0.500



The following is a DFT calculation (GGA-PBEsol) of a relaxed CsFeIr2 crystal.

Unit cell a=4.658 b=4.658 c=4.658 alpha=60.00 beta=60.00 gamma=60.00
Fractional positions:
Ir  0.250  0.250  0.250
Cs  0.500  0.500  0.500
Fe  0.000  0.000  0.000
Ir  0.750  0.750  0.750



Number 1: energy -10.05 eV per cell. Number 2: energy -21.94 eV per cell. Number 3: energy -14.30 eV per cell. Number 4: energy -22.86 eV per cell.